The following is a PBE calculation of a relaxed PuWC2 crystal, from Alexandria.

## Properties
Energy above the most stable polymorph in this dataset (eV per atom): 0.080
Energy relative to the elements (meV per atom): -92.2
Total moment (μB/atom): 1.03
Space-group type: No. 166

a = 5.867 Å, b = 5.867 Å, c = 5.867 Å
α = 31.77°, β = 31.77°, γ = 31.77°
Fractional coordinates of all 4 atoms:
Pu  0.000  0.000  0.000
W  0.500  0.500  0.500
C  0.239  0.239  0.239
C  0.761  0.761  0.761